The following is a DFT calculation (PBE) of a geometry-optimized ZnCd12Au6 structure.

Calculated values
Energy relative to the lowest polymorph listed for this composition = 94 meV/atom
ρ = 8.8 g/cm³
Energy of formation from the pure elements = -0.040 eV/atom
Space group = R-3, No. 148

The structure in POSCAR format:
```
ZnCd12Au6
1.0
-3.559 -6.323 -3.543
6.333 1.202 -4.862
3.515 -3.504 6.369
Zn Cd Au
1 12 6
Cartesian
0.000 0.000 0.000
2.044 -6.001 -2.984
5.703 -3.580 -1.938
3.548 -5.908 1.267
4.245 -2.624 0.949
0.586 -5.045 -0.097
2.742 -2.717 -3.303
6.693 -0.177 -2.478
7.423 -3.225 2.495
4.073 -3.538 -6.528
-0.403 -8.448 0.443
-1.133 -5.400 -4.531
2.216 -5.086 4.493
4.420 -4.918 -4.029
0.263 -3.795 -2.595
4.206 -1.190 -1.449
1.869 -3.706 1.994
6.027 -4.830 0.560
2.084 -7.435 -0.586
```

---

The following is a DFT calculation (PBE) of a geometry-optimized Nd3Sm4Dy5 structure.

Calculated values
Energy relative to the lowest polymorph listed for this composition = 0 meV/atom
ρ = 7.7 g/cm³
Energy of formation from the pure elements = 0.015 eV/atom
Space group = P-1, No. 2

The structure in POSCAR format:
```
Nd3Sm4Dy5
1.0
-0.695 6.167 -3.667
-7.347 -8.661 1.007
4.852 11.360 4.037
Nd Sm Dy
3 4 5
Cartesian
-0.005 5.938 -0.627
2.426 5.680 2.018
-3.185 2.929 2.003
-3.535 6.012 0.174
-1.415 8.835 0.980
-1.775 0.031 0.396
0.345 2.855 1.203
-1.076 5.754 2.826
2.078 8.764 0.185
-4.198 0.296 -2.245
1.008 8.570 3.621
-2.114 3.112 -1.449
```

---

The following is a DFT calculation (PBE) of a geometry-optimized Li2InTeO6 structure.

Calculated values
ρ = 4.4 g/cm³
E_form (uncorrected) = -1341 meV per atom
Space group = C2/c, No. 15

The structure in POSCAR format:
```
Li2InTeO6
1.0
-5.750 0.470 -0.639
-2.936 -3.968 5.093
-2.068 5.370 4.147
Li In Te O
4 2 2 12
Cartesian
-5.600 0.472 6.181
-2.402 -0.160 2.874
-5.154 1.399 2.420
-8.353 2.032 5.728
-4.290 -2.947 4.842
-6.465 4.819 3.759
-3.721 3.174 4.222
-7.034 -1.303 4.380
-5.570 0.474 8.190
-2.468 -0.552 0.905
-5.184 1.397 0.411
-8.286 2.423 7.697
-5.501 -1.381 5.565
-2.827 -1.804 3.844
-5.254 3.252 3.036
-7.928 3.675 4.757
-4.428 1.861 5.450
-3.288 1.537 3.293
-6.327 0.010 3.152
-7.467 0.334 5.309
```

---

The following is a DFT calculation (PBE) of a geometry-optimized Li2PmAlZn4 structure.

Calculated values
ρ = 5.1 g/cm³
Energy of formation from the pure elements = -0.199 eV/atom
Space group = R-3m, No. 166

The structure in POSCAR format:
```
Li2PmAlZn4
1.0
-3.184 2.464 1.572
-3.814 0.156 -2.028
-5.229 -6.008 4.766
Li Pm Al Zn
2 1 1 4
Cartesian
-9.014 -2.168 2.966
-3.214 -1.220 1.344
0.000 0.000 0.000
-6.114 -1.694 2.155
-6.970 -3.728 3.609
-8.065 0.087 1.355
-4.163 -3.474 2.955
-5.257 0.340 0.701
```

---

The following is a DFT calculation (PBE) of a geometry-optimized Ba3Zn2RuO6 structure.

Calculated values
ρ = 5.9 g/cm³
E_form (uncorrected) = -1668 meV per atom
Space group = P-3m1, No. 164

The structure in POSCAR format:
```
Ba3Zn2RuO6
1.0
-4.574 0.455 -3.650
3.483 -4.719 -0.233
-4.062 -3.230 4.687
Ba Zn Ru O
3 2 1 6
Cartesian
-1.814 -5.071 1.641
-3.339 -2.423 -0.837
0.000 0.000 0.000
-5.239 -3.934 1.355
0.086 -3.560 -0.551
-2.031 -1.615 2.344
-1.521 -4.718 -1.126
-0.956 -2.509 0.885
0.848 -4.953 0.764
-4.197 -4.984 -0.081
-3.632 -2.776 1.930
-6.001 -2.541 0.040
```

---

The following is a DFT calculation (PBE) of a geometry-optimized AlGeI structure.

Calculated values
Energy relative to the lowest polymorph listed for this composition = 0 meV/atom
ρ = 3.8 g/cm³
E_form (uncorrected) = -259 meV per atom
Space group = P-1, No. 2

The structure in POSCAR format:
```
AlGeI
1.0
4.054 0.000 0.000
-0.002 4.349 0.000
-0.128 -2.089 11.377
I Ge Al
2 2 2
Cartesian
1.014 -0.001 3.797
2.911 2.261 7.580
3.040 2.178 0.745
0.885 0.082 10.632
0.883 2.256 9.425
3.042 0.004 1.952
```

---

The following is a DFT calculation (PBE) of a geometry-optimized BaMgIr structure.

Calculated values
ρ = 7.5 g/cm³
Energy of formation from the pure elements = -0.208 eV/atom
Space group = P4/nmm, No. 129

The structure in POSCAR format:
```
BaMgIr
1.0
4.379 0.000 0.000
0.000 4.379 0.000
0.000 0.000 8.168
Ba Mg Ir
2 2 2
Cartesian
0.000 2.189 6.842
2.189 0.000 1.326
2.189 2.189 4.084
0.000 0.000 4.084
0.000 2.189 2.430
2.189 0.000 5.739
```

---

The following is a DFT calculation (PBE) of a geometry-optimized TlC2 structure.

Calculated values
Energy relative to the lowest polymorph listed for this composition = 535 meV/atom
ρ = 7.9 g/cm³
Energy of formation from the pure elements = 1.437 eV/atom
Space group = Pa-3, No. 205

The structure in POSCAR format:
```
TlC2
1.0
-1.263 2.788 -4.894
-5.582 -1.288 0.707
-0.750 4.887 2.978
Tl C
4 8
Cartesian
0.000 0.000 0.000
-3.423 0.750 -2.093
-1.007 3.838 -0.958
-3.166 1.800 1.843
-3.311 2.785 -0.527
-4.284 3.603 -0.681
-1.963 5.284 -2.855
-5.633 1.104 1.647
-5.985 0.681 -1.908
-1.610 5.707 0.700
-3.932 4.027 2.873
-3.664 2.362 -4.081
```